Compound: YTcNO2
Source: the Alexandria database
Functional: PBE-GGA
Structure: relaxed

a b c (Å): 4.3031 4.3031 4.4848
angles (deg): 90.00 90.00 90.00
Closest atoms and distances in Å follow each position.
Space group P4/mmm (No. 123)
Symmetry-distinct sites (fractional):
Y 0.0000 0.0000 0.0000 (multiplicity 1)  4 O 2.15, 2 N 2.24
Tc 0.5000 0.5000 0.5000 (multiplicity 1)  4 N 3.04, 8 O 3.11
N 0.0000 0.0000 0.5000 (multiplicity 1)  2 Y 2.24
O 0.0000 0.5000 0.0000 (multiplicity 2)  2 Y 2.15

* E_tot: -6.99 eV/atom
* formation energy without anion corrections: 26 meV/atom
* theoretical density: 4.7 g/cm³

---

Compound: YTcN2O
Source: the Alexandria database
Functional: PBE-GGA
Structure: relaxed

a b c (Å): 3.8949 3.8949 3.9665
angles (deg): 90.00 90.00 90.00
Closest atoms and distances in Å follow each position.
Space group P4/mmm (No. 123)
Symmetry-distinct sites (fractional):
Y 0.0000 0.0000 0.0000 (multiplicity 1)  4 O 2.75, 8 N 2.78
Tc 0.5000 0.5000 0.5000 (multiplicity 1)  4 N 1.95, 2 O 1.98
N 0.0000 0.5000 0.5000 (multiplicity 2)  2 Tc 1.95
O 0.5000 0.5000 0.0000 (multiplicity 1)  2 Tc 1.98

* E_tot: -8.62 eV/atom
* formation energy without anion corrections: -930 meV/atom
* theoretical density: 6.4 g/cm³

---

Compound: YTcN2O
Source: the Alexandria database
Functional: PBE-GGA
Structure: relaxed

a b c (Å): 4.4560 4.4560 4.2488
angles (deg): 90.00 90.00 90.00
Closest atoms and distances in Å follow each position.
Space group P4/mmm (No. 123)
Symmetry-distinct sites (fractional):
Y 0.0000 0.0000 0.0000 (multiplicity 1)  2 O 2.12, 4 N 2.23
Tc 0.5000 0.5000 0.5000 (multiplicity 1)  8 N 3.08, 4 O 3.15
N 0.0000 0.5000 0.0000 (multiplicity 2)  2 Y 2.23
O 0.0000 0.0000 0.5000 (multiplicity 1)  2 Y 2.12

* E_tot: -6.79 eV/atom
* formation energy without anion corrections: 897 meV/atom
* theoretical density: 4.5 g/cm³

---

Compound: YTcNO2
Source: the Alexandria database
Functional: PBE-GGA
Structure: relaxed

a b c (Å): 3.9776 3.9776 3.8551
angles (deg): 90.00 90.00 90.00
Closest atoms and distances in Å follow each position.
Space group P4/mmm (No. 123)
Symmetry-distinct sites (fractional):
Y 0.0000 0.0000 0.0000 (multiplicity 1)  8 O 2.77, 4 N 2.81
Tc 0.5000 0.5000 0.5000 (multiplicity 1)  2 N 1.93, 4 O 1.99
N 0.5000 0.5000 0.0000 (multiplicity 1)  2 Tc 1.93
O 0.0000 0.5000 0.5000 (multiplicity 2)  2 Tc 1.99

* E_tot: -8.44 eV/atom
* formation energy without anion corrections: -1421 meV/atom
* theoretical density: 6.3 g/cm³

---

Compound: ZnTcNO2
Source: the Alexandria database
Functional: PBE-GGA
Structure: relaxed

a b c (Å): 3.7891 3.7891 3.9221
angles (deg): 90.00 90.00 90.00
Closest atoms and distances in Å follow each position.
Space group P4/mmm (No. 123)
Symmetry-distinct sites (fractional):
Zn 0.0000 0.0000 0.0000 (multiplicity 1)  4 O 1.89, 2 N 1.96
Tc 0.5000 0.5000 0.5000 (multiplicity 1)  4 N 2.68, 8 O 2.73
N 0.0000 0.0000 0.5000 (multiplicity 1)  2 Zn 1.96
O 0.0000 0.5000 0.0000 (multiplicity 2)  2 Zn 1.89

* E_tot: -5.24 eV/atom
* formation energy without anion corrections: 739 meV/atom
* theoretical density: 6.2 g/cm³

---

Compound: ZnTcNO2
Source: the Alexandria database
Functional: PBE-GGA
Structure: relaxed

a b c (Å): 3.8289 3.8289 3.9959
angles (deg): 90.00 90.00 90.00
Closest atoms and distances in Å follow each position.
Space group P4/mmm (No. 123)
Symmetry-distinct sites (fractional):
Zn 0.0000 0.0000 0.0000 (multiplicity 1)  4 N 2.71, 8 O 2.77
Tc 0.5000 0.5000 0.5000 (multiplicity 1)  4 O 1.91, 2 N 2.00
N 0.5000 0.5000 0.0000 (multiplicity 1)  2 Tc 2.00
O 0.0000 0.5000 0.5000 (multiplicity 2)  2 Tc 1.91

* E_tot: -6.29 eV/atom
* formation energy without anion corrections: -314 meV/atom
* theoretical density: 5.9 g/cm³

---

Compound: ZrTcN2O
Source: the Alexandria database
Functional: PBE-GGA
Structure: relaxed

a b c (Å): 4.2729 4.2729 4.0357
angles (deg): 90.00 90.00 90.00
Closest atoms and distances in Å follow each position.
Space group P4/mmm (No. 123)
Symmetry-distinct sites (fractional):
Zr 0.0000 0.0000 0.0000 (multiplicity 1)  2 O 2.02, 4 N 2.14
Tc 0.5000 0.5000 0.5000 (multiplicity 1)  8 N 2.94, 4 O 3.02
N 0.0000 0.5000 0.0000 (multiplicity 2)  2 Zr 2.14
O 0.0000 0.0000 0.5000 (multiplicity 1)  2 Zr 2.02

* E_tot: -7.78 eV/atom
* formation energy without anion corrections: 321 meV/atom
* theoretical density: 5.3 g/cm³

---

Compound: ZrTcN2O
Source: the Alexandria database
Functional: PBE-GGA
Structure: relaxed

a b c (Å): 3.8710 3.8710 3.8932
angles (deg): 90.00 90.00 90.00
Closest atoms and distances in Å follow each position.
Space group P4/mmm (No. 123)
Symmetry-distinct sites (fractional):
Zr 0.0000 0.0000 0.0000 (multiplicity 1)  4 O 2.74, 8 N 2.75
Tc 0.5000 0.5000 0.5000 (multiplicity 1)  4 N 1.94, 2 O 1.95
N 0.0000 0.5000 0.5000 (multiplicity 2)  2 Tc 1.94
O 0.5000 0.5000 0.0000 (multiplicity 1)  2 Tc 1.95

* E_tot: -8.51 eV/atom
* formation energy without anion corrections: -401 meV/atom
* theoretical density: 6.6 g/cm³

---

Compound: Th2TeNO
Source: the Alexandria database
Functional: PBE-GGA
Structure: relaxed

a b c (Å): 4.1058 4.1058 12.6579
angles (deg): 90.00 90.00 90.00
Closest atoms and distances in Å follow each position.
Space group I-4m2 (No. 119)
Symmetry-distinct sites (fractional):
Th 0.0000 0.0000 0.1543 (multiplicity 4)  2 O 2.38, 2 N 2.38
Te 0.0000 0.0000 0.5000 (multiplicity 2)  8 Th 3.50, 4 O 3.77, 4 N 3.77
N 0.0000 0.5000 0.7500 (multiplicity 2)  4 Th 2.38
O 0.0000 0.5000 0.2500 (multiplicity 2)  4 Th 2.38

* E_tot: -8.52 eV/atom
* formation energy without anion corrections: -2263 meV/atom
* theoretical density: 9.7 g/cm³

---

Compound: TiTeN2O
Source: the Alexandria database
Functional: PBE-GGA
Structure: relaxed

a b c (Å): 4.0390 4.0390 3.9025
angles (deg): 90.00 90.00 90.00
Closest atoms and distances in Å follow each position.
Space group P4/mmm (No. 123)
Symmetry-distinct sites (fractional):
Ti 0.0000 0.0000 0.0000 (multiplicity 1)  8 N 2.81, 4 O 2.86
Te 0.5000 0.5000 0.5000 (multiplicity 1)  2 O 1.95, 4 N 2.02
N 0.0000 0.5000 0.5000 (multiplicity 2)  2 Te 2.02
O 0.5000 0.5000 0.0000 (multiplicity 1)  2 Te 1.95

* E_tot: -5.97 eV/atom
* formation energy without anion corrections: 560 meV/atom
* theoretical density: 5.7 g/cm³

---

Compound: TiTeN2O
Source: the Alexandria database
Functional: PBE-GGA
Structure: relaxed

a b c (Å): 3.9861 3.9861 4.0450
angles (deg): 90.00 90.00 90.00
Closest atoms and distances in Å follow each position.
Space group P4/mmm (No. 123)
Symmetry-distinct sites (fractional):
Ti 0.0000 0.0000 0.0000 (multiplicity 1)  4 Te 2.82, 8 N 2.84
Te 0.5000 0.5000 0.0000 (multiplicity 1)  2 O 2.02
N 0.0000 0.5000 0.5000 (multiplicity 2)  2 O 1.99
O 0.5000 0.5000 0.5000 (multiplicity 1)  4 N 1.99, 2 Te 2.02

* E_tot: -5.15 eV/atom
* formation energy without anion corrections: 1384 meV/atom
* theoretical density: 5.7 g/cm³

---

Compound: TiTeN2O
Source: the Alexandria database
Functional: PBE-GGA
Structure: relaxed

a b c (Å): 4.1020 4.1020 3.7139
angles (deg): 90.00 90.00 90.00
Closest atoms and distances in Å follow each position.
Space group P4/mmm (No. 123)
Symmetry-distinct sites (fractional):
Ti 0.0000 0.0000 0.0000 (multiplicity 1)  2 O 1.86, 4 N 2.05
Te 0.5000 0.5000 0.5000 (multiplicity 1)  8 N 2.77, 4 O 2.90
N 0.0000 0.5000 0.0000 (multiplicity 2)  2 Ti 2.05
O 0.0000 0.0000 0.5000 (multiplicity 1)  2 Ti 1.86

* E_tot: -6.67 eV/atom
* formation energy without anion corrections: -143 meV/atom
* theoretical density: 5.8 g/cm³